1.
The following is a DFT calculation (PBE) of a geometry-optimized LaGdH structure.

Properties
Excess energy over the best structure of this formula in the dataset ... 0.0 kJ per mole of atoms
V ... 23.51 A^3/atom
Space group ... P3m1
Total magnetization ... 2.5677 μB/atom

extended XYZ file:
```
3
Lattice="3.700 0.000 0.000 -1.850 3.204 0.000 0.000 0.000 5.950" Properties=species:S:1:pos:R:3 pbc="T T T"
H 1.850 1.068 2.058
Gd 0.000 2.136 3.389
La 0.000 0.000 0.504
```

***

2.
The following is a DFT calculation (PBE) of a geometry-optimized LiGdH3 structure.

Properties
Final energy ... -5.636 eV per atom
V ... 9.42 A^3/atom
Space group ... Pm-3m
Total magnetization ... 1.4901 μB/atom

extended XYZ file:
```
5
Lattice="-1.966 1.256 2.756 1.153 -2.728 2.065 2.801 2.005 1.084" Properties=species:S:1:pos:R:3 pbc="T T T"
H 0.576 -1.364 1.033
H 1.400 1.002 0.542
H -0.983 0.628 1.378
Gd 0.994 0.266 2.953
Li 0.000 0.000 0.000
```

***

3.
The following is a DFT calculation (PBE) of a geometry-optimized Li5Gd3H12 structure.

Properties
Final energy ... -5.050 eV per atom
V ... 10.72 A^3/atom
Space group ... Ia-3d
Total magnetization ... 1.0916 μB/atom

extended XYZ file:
```
80
Lattice="10.366 0.000 0.000 -3.455 9.773 0.000 -3.455 -4.887 8.464" Properties=species:S:1:pos:R:3 pbc="T T T"
Gd 6.047 3.054 1.058
Gd 6.047 6.719 1.058
Gd -0.864 4.276 5.290
Gd 0.864 -0.611 3.174
Gd 7.775 0.000 2.116
Gd 0.864 4.887 2.116
Gd 2.592 0.000 6.348
Gd -4.319 4.887 6.348
Gd 2.592 5.497 5.290
Gd 4.319 0.611 3.174
Gd -2.592 -1.832 7.406
Gd -2.592 1.832 7.406
Li -0.864 2.443 2.116
Li -1.728 4.887 0.000
Li 0.000 0.000 0.000
Li 2.592 1.832 1.058
Li 3.455 -2.443 4.232
Li 3.455 4.887 0.000
Li -2.592 5.497 3.174
Li 4.319 -3.054 7.406
Li 4.319 4.276 3.174
Li 0.864 -2.443 6.348
Li 2.592 7.330 2.116
Li 1.728 2.443 4.232
Li 5.183 0.000 0.000
Li -1.728 -2.443 4.232
Li -0.864 0.611 5.290
Li -0.864 7.941 1.058
Li -3.455 2.443 4.232
Li 6.047 -0.611 5.290
Li 0.864 3.054 7.406
Li 4.319 2.443 6.348
H 6.855 1.079 0.316
H 0.056 3.256 3.456
H 7.718 2.241 2.398
H 4.375 1.488 1.092
H 1.268 3.685 5.750
H 7.315 4.906 1.518
H -0.808 5.640 3.490
H -2.648 8.286 1.092
H 0.460 6.088 5.750
H 4.779 4.867 1.518
H 5.239 2.709 3.140
H 5.239 8.695 0.316
H -2.996 4.379 4.548
H 2.132 3.562 0.742
H -3.511 7.064 3.140
H 1.784 -1.630 5.008
H -0.460 0.694 1.834
H 2.132 6.192 0.776
H 4.375 7.532 2.398
H -0.404 3.582 0.776
H -2.187 5.581 6.629
H 2.535 4.133 3.490
H 4.723 5.394 4.548
H 3.859 -1.325 7.722
H 0.920 0.754 4.974
H -1.268 -0.508 3.916
H -0.404 6.211 0.742
H -0.920 -2.645 6.066
H 5.643 -0.694 1.834
H 3.859 1.305 7.688
H 1.324 -1.305 7.688
H 1.672 6.517 3.456
H 3.915 4.193 6.629
H 6.967 -2.178 5.324
H 6.451 0.508 3.916
H -1.784 -3.808 8.148
H 1.324 1.325 7.722
H 2.996 -1.202 2.714
H -1.324 0.020 6.946
H -1.784 2.178 5.324
H 6.103 -3.399 7.372
H 4.263 -0.754 4.974
H -0.920 3.399 7.372
H -3.859 -0.020 6.946
H 2.187 1.202 2.714
H -4.263 2.645 6.066
H 3.399 1.630 5.008
H -3.399 3.808 8.148
```

***

4.
The following is a DFT calculation (PBE) of a geometry-optimized LiGd2H4 structure.

Properties
Final energy ... -6.643 eV per atom
V ... 11.33 A^3/atom
Space group ... I4/mmm
Total magnetization ... 2.0573 μB/atom

extended XYZ file:
```
7
Lattice="3.604 0.000 0.000 0.000 3.604 0.000 1.802 1.802 6.103" Properties=species:S:1:pos:R:3 pbc="T T T"
H 1.802 1.802 4.142
H 3.604 3.604 1.961
H 0.000 1.802 0.000
H 1.802 0.000 0.000
Gd 1.802 1.802 1.851
Gd 3.604 3.604 4.252
Li 0.000 0.000 0.000
```

***

5.
The following is a DFT calculation (PBE) of a geometry-optimized LiGd3H structure.

Properties
Final energy ... -9.561 eV per atom
V ... 24.20 A^3/atom
Space group ... Pm-3m
Total magnetization ... 4.7345 μB/atom

extended XYZ file:
```
5
Lattice="-2.898 -2.404 -3.207 2.064 -4.288 1.348 -3.436 -0.548 3.515" Properties=species:S:1:pos:R:3 pbc="T T T"
H 0.000 0.000 0.000
Gd 1.032 -2.144 0.674
Gd -1.718 -0.274 1.758
Gd -1.449 -1.202 -1.604
Li -2.135 -3.620 0.828
```

***

6.
The following is a DFT calculation (PBE) of a geometry-optimized Li2GdH structure.

Properties
Final energy ... -5.262 eV per atom
V ... 18.67 A^3/atom
Space group ... R-3m
Total magnetization ... 1.9522 μB/atom

extended XYZ file:
```
4
Lattice="-1.141 -0.400 -2.900 1.933 -0.759 -2.358 -1.020 -8.861 -0.079" Properties=species:S:1:pos:R:3 pbc="T T T"
H -0.114 -5.010 -2.669
Gd 0.000 0.000 0.000
Li -0.550 -5.756 -0.692
Li 0.321 -4.263 -4.645
```

***

7.
The following is a DFT calculation (PBE) of a geometry-optimized LiGdH2 structure.

Properties
Final energy ... -5.961 eV per atom
V ... 12.58 A^3/atom
Space group ... R-3m
Total magnetization ... 1.7711 μB/atom

extended XYZ file:
```
4
Lattice="3.289 0.000 0.000 1.644 2.848 0.000 1.644 0.949 5.372" Properties=species:S:1:pos:R:3 pbc="T T T"
H 4.933 2.848 3.886
H 1.644 0.949 1.486
Gd 0.000 0.000 0.000
Li 3.289 1.899 2.686
```

***

8.
The following is a DFT calculation (PBE) of a geometry-optimized LiGdH structure.

Properties
Final energy ... -6.544 eV per atom
V ... 18.70 A^3/atom
Space group ... P3m1
Total magnetization ... 2.5858 μB/atom

extended XYZ file:
```
3
Lattice="-2.887 1.412 1.055 0.536 -3.307 0.470 2.372 1.099 5.023" Properties=species:S:1:pos:R:3 pbc="T T T"
H 0.946 -1.016 3.948
Gd -0.727 0.311 3.018
Li 2.174 1.007 4.604
```

***

9.
The following is a DFT calculation (PBE) of a geometry-optimized Gd3Lu5H12 structure.

Properties
Final energy ... -5.718 eV per atom
V ... 13.34 A^3/atom
Space group ... Ia-3d
Total magnetization ... 1.1214 μB/atom

extended XYZ file:
```
80
Lattice="-2.187 -9.372 -5.630 10.982 0.808 1.749 -5.318 -0.224 9.797" Properties=species:S:1:pos:R:3 pbc="T T T"
Gd 1.814 -6.754 -2.342
Gd 5.658 -7.622 -2.390
Gd 4.093 -3.048 5.324
Gd -1.168 -2.326 2.485
Gd -1.870 -8.155 -2.259
Gd 4.714 -3.065 1.431
Gd -1.237 -5.722 4.485
Gd 5.348 -0.632 8.175
Gd 4.646 -6.461 3.431
Gd -0.615 -5.739 0.592
Gd -2.181 -1.165 8.306
Gd 1.664 -2.034 8.258
Lu 2.515 -0.924 2.402
Lu 5.491 0.404 0.875
Lu 0.000 0.000 0.000
Lu 1.261 -3.340 -0.449
Lu -3.752 -4.798 2.084
Lu 4.398 -4.282 -1.941
Lu 5.969 -0.649 4.282
Lu -4.920 -7.124 4.569
Lu 3.230 -6.608 0.545
Lu -3.435 -3.581 5.455
Lu 6.913 -5.206 0.461
Lu 1.739 -4.394 2.958
Lu -1.093 -4.686 -2.815
Lu -2.659 -0.112 4.899
Lu 0.248 -2.180 5.372
Lu 8.398 -1.664 1.348
Lu 2.832 0.292 5.773
Lu -2.491 -8.138 1.634
Lu 2.217 -5.447 6.366
Lu 0.962 -7.863 3.515
H -0.265 -6.635 -3.205
H 3.214 -2.830 3.096
H 0.317 -8.590 -1.928
H 0.397 -5.102 -1.318
H 3.143 -4.920 4.504
H 3.556 -8.372 -2.702
H 5.549 -2.656 3.649
H 9.219 -0.110 2.578
H 5.532 -4.901 4.794
H 3.852 -6.315 -1.488
H 1.256 -7.039 -0.177
H 7.857 -7.153 -2.551
H 4.599 -0.931 5.909
H 3.373 -2.982 -0.563
H 7.985 -0.010 4.642
H -2.440 -4.030 3.609
H 0.430 -0.588 2.027
H 5.811 -3.612 -0.460
H 6.869 -7.189 -0.358
H 3.915 -1.061 0.781
H 5.404 -2.713 7.312
H 3.551 -5.085 2.022
H 4.259 -7.991 1.821
H -2.907 -7.249 5.299
H -0.073 -3.702 3.895
H -0.782 -0.797 4.095
H 6.384 -1.538 0.617
H -3.391 -1.599 6.274
H -1.927 -6.074 -1.395
H -0.437 -7.727 5.135
H -2.333 -5.175 6.376
H 5.917 -4.757 2.308
H 3.048 -8.199 3.890
H -4.508 -8.778 1.275
H -1.121 -7.856 0.007
H -4.379 -1.634 8.468
H 0.105 -5.806 6.479
H -2.054 -3.887 1.122
H -0.375 -2.472 7.404
H 2.222 -1.748 6.094
H -5.741 -8.678 3.338
H -2.071 -6.132 2.267
H 3.080 -3.685 7.234
H -0.078 -0.416 8.618
H 0.334 -3.867 1.413
H 3.161 -0.197 7.845
H 0.264 -5.957 2.820
H 3.743 -2.152 9.122
```

***

10.
The following is a DFT calculation (PBE) of a geometry-optimized Gd2LuH structure.

Properties
Final energy ... -8.931 eV per atom
V ... 23.49 A^3/atom
Space group ... P4/mmm
Total magnetization ... 3.6698 μB/atom

extended XYZ file:
```
4
Lattice="-0.730 3.087 1.036 -1.564 0.599 -2.886 -7.223 -2.824 3.328" Properties=species:S:1:pos:R:3 pbc="T T T"
Gd -5.849 -2.287 2.694
Gd -1.375 -0.538 0.633
H -1.147 1.843 -0.925
Lu -4.759 0.431 0.739
```

***

11.
The following is a DFT calculation (PBE) of a geometry-optimized GdLu2H structure.

Properties
Excess energy over the best structure of this formula in the dataset ... 32.9 kJ per mole of atoms
V ... 22.73 A^3/atom
Space group ... P4/mmm
Total magnetization ... 1.7563 μB/atom

extended XYZ file:
```
4
Lattice="-2.647 1.850 0.650 -1.959 -2.534 -0.770 0.171 -2.557 7.979" Properties=species:S:1:pos:R:3 pbc="T T T"
H -2.303 -0.342 -0.060
Gd -2.218 -1.621 3.929
Lu 0.139 -2.069 6.454
Lu 0.033 -0.489 1.524
```

***

12.
The following is a DFT calculation (PBE) of a geometry-optimized GdLuH structure.

Properties
Excess energy over the best structure of this formula in the dataset ... 11.3 kJ per mole of atoms
V ... 22.23 A^3/atom
Space group ... I4mm
Total magnetization ... 2.5206 μB/atom

extended XYZ file:
```
3
Lattice="3.340 0.000 0.000 0.000 3.340 0.000 -1.670 -1.670 5.980" Properties=species:S:1:pos:R:3 pbc="T T T"
H 0.000 0.000 2.611
Gd 1.670 1.670 2.941
Lu 0.000 0.000 0.428
```

***

13.
The following is a DFT calculation (PBE) of a geometry-optimized GdLu2H structure.

Properties
Excess energy over the best structure of this formula in the dataset ... 0.0 kJ per mole of atoms
V ... 22.52 A^3/atom
Space group ... R-3m
Total magnetization ... 1.7977 μB/atom

extended XYZ file:
```
4
Lattice="3.526 0.000 0.000 1.763 3.054 0.000 1.763 1.018 8.367" Properties=species:S:1:pos:R:3 pbc="T T T"
Gd 3.526 2.036 4.183
H 0.000 0.000 0.000
Lu 1.763 1.018 1.332
Lu 5.289 3.054 7.035
```

***

14.
The following is a DFT calculation (PBE) of a geometry-optimized GdLuH structure.

Properties
Excess energy over the best structure of this formula in the dataset ... 0.0 kJ per mole of atoms
V ... 20.53 A^3/atom
Space group ... P3m1
Total magnetization ... 2.4613 μB/atom

extended XYZ file:
```
3
Lattice="3.575 0.000 0.000 -1.788 3.096 0.000 0.000 0.000 5.563" Properties=species:S:1:pos:R:3 pbc="T T T"
H 0.000 2.064 3.682
Gd 0.000 0.000 5.087
Lu 1.788 1.032 2.357
```

***

15.
The following is a DFT calculation (PBE) of a geometry-optimized GdMgH structure.

Properties
Excess energy over the best structure of this formula in the dataset ... 0.0 kJ per mole of atoms
V ... 18.47 A^3/atom
Space group ... P4/nmm
Total magnetization ... 2.5259 μB/atom

extended XYZ file:
```
6
Lattice="-0.831 0.337 3.181 -2.427 -2.207 -0.400 6.396 -7.480 2.464" Properties=species:S:1:pos:R:3 pbc="T T T"
H 0.126 -0.465 1.799
H 4.641 -7.950 2.055
Mg 2.660 -5.634 1.292
Mg 2.107 -2.781 2.562
Gd -0.299 -2.173 0.152
Gd 5.066 -6.242 3.702
```

***

16.
The following is a DFT calculation (PBE) of a geometry-optimized Gd3MgH structure.

Properties
Final energy ... -9.624 eV per atom
V ... 24.38 A^3/atom
Space group ... Pm-3m
Total magnetization ... 4.7396 μB/atom

extended XYZ file:
```
5
Lattice="-2.952 1.090 3.832 -1.381 -4.753 0.289 3.737 -0.895 3.134" Properties=species:S:1:pos:R:3 pbc="T T T"
H 0.000 0.000 0.000
Mg -0.298 -2.279 3.627
Gd -0.691 -2.377 0.144
Gd 1.868 -0.448 1.567
Gd -1.476 0.545 1.916
```

***

17.
The following is a DFT calculation (PBE) of a geometry-optimized Gd2MgH structure.

Properties
Final energy ... -8.258 eV per atom
V ... 24.14 A^3/atom
Space group ... R-3m
Total magnetization ... 3.6449 μB/atom

extended XYZ file:
```
4
Lattice="-0.468 1.283 -3.180 1.139 -1.753 -2.758 -7.955 -4.564 -2.554" Properties=species:S:1:pos:R:3 pbc="T T T"
H -3.642 -2.517 -4.246
Mg 0.000 0.000 0.000
Gd -5.083 -3.017 -2.352
Gd -2.201 -2.018 -6.140
```